Below is an optimized crystal structure of BeMo2Ru, with properties calculated at the PBE level.

```
BeMo2Ru
1.0
-1.5485 2.0472 4.3346
1.5485 -2.0472 4.3346
1.5485 2.0472 -4.3346
Be Mo Ru
1 2 1
Direct
0.0000 0.0000 0.0000
0.2484 0.7484 0.5000
0.7516 0.2516 0.5000
0.5000 0.5000 0.0000
```

Calculated values
* DFT total energy: -8.68 eV per atom
* energy of formation: -16 meV per atom
* magnetization: 0.0 μB/f.u.


Below is an optimized crystal structure of BeMoRu3, with properties calculated at the PBE level.

```
BeMoRu3
1.0
4.6213 0.0000 0.0000
0.0000 4.6213 0.0000
0.0000 0.0000 4.6213
Be Mo Ru
1 1 3
Direct
0.0000 0.0000 0.0000
0.5000 0.5000 0.5000
0.0000 0.5000 0.5000
0.5000 0.0000 0.5000
0.5000 0.5000 0.0000
```

Calculated values
* DFT total energy: -6.62 eV per atom
* energy of formation: 1855 meV per atom
* magnetization: 1.3 μB/f.u.